(1)
LaTaTc PBE-GGA optimized geometry; magnetic moment = 0.00 μB per atom; polymorph energy (0 for the lowest one) = 0.000 eV per atom; total DFT energy (no corrections) = -8.77 eV/atom; space-group type = Fmm2 (42); formation energy = 0.282 eV/atom
1.0
0.000 2.598 7.337
1.643 0.000 7.337
1.643 2.598 0.000
La Ta Tc
1 1 1
Direct
0.000 0.000 0.000
0.698 0.698 0.302
0.329 0.329 0.671

=====

(2)
Tl2OsRh PBE-GGA optimized geometry; magnetic moment = 0.45 μB per atom; polymorph energy (0 for the lowest one) = 0.557 eV per atom; total DFT energy (no corrections) = -4.78 eV/atom; space-group type = I-42d (122); formation energy = 1.052 eV/atom
1.0
-2.082 2.082 9.610
2.082 -2.082 9.610
2.082 2.082 -9.610
Tl Os Rh
4 2 2
Direct
0.124 0.625 0.999
0.375 0.374 0.499
0.626 0.125 0.001
0.875 0.876 0.501
0.000 0.000 0.000
0.750 0.250 0.500
0.250 0.750 0.500
0.500 0.500 0.000

=====

(3)
Ti3PtC PBE-GGA optimized geometry; magnetic moment = 0.00 μB per atom; polymorph energy (0 for the lowest one) = 0.895 eV per atom; total DFT energy (no corrections) = -7.72 eV/atom; space-group type = I-4m2 (119); formation energy = 0.071 eV/atom
1.0
-2.424 2.424 6.865
2.424 -2.424 6.865
2.424 2.424 -6.865
Ti Pt C
6 2 2
Direct
0.219 0.219 0.000
0.334 0.604 0.729
0.396 0.125 0.729
0.396 0.666 0.271
0.781 0.781 0.000
0.875 0.604 0.271
0.641 0.141 0.500
0.859 0.359 0.500
0.250 0.750 0.500
0.500 0.500 0.000

=====

(4)
CaBr PBE-GGA optimized geometry; magnetic moment = 0.31 μB per atom; total DFT energy (no corrections) = -2.92 eV/atom; space-group type = P4_2/mnm (136)
1.0
8.752 0.000 0.000
0.000 8.752 0.000
0.000 0.000 4.244
Ca Br
4 4
Direct
0.197 0.197 0.000
0.303 0.697 0.500
0.697 0.303 0.500
0.803 0.803 0.000
0.139 0.861 0.000
0.361 0.361 0.500
0.639 0.639 0.500
0.861 0.139 0.000

=====

(5)
ScH3W PBE-GGA optimized geometry; magnetic moment = 0.00 μB per atom; polymorph energy (0 for the lowest one) = 0.000 eV per atom; total DFT energy (no corrections) = -5.96 eV/atom; space-group type = Pm-3m (221)
1.0
3.568 0.000 0.000
0.000 3.568 0.000
0.000 0.000 3.568
Sc H W
1 3 1
Direct
0.000 0.000 0.000
0.000 0.500 0.500
0.500 0.000 0.500
0.500 0.500 0.000
0.500 0.500 0.500

=====

(6)
Ac3Zn2InO9 PBE-GGA optimized geometry; magnetic moment = 0.00 μB per atom; total DFT energy (no corrections) = -6.34 eV/atom; space-group type = P-3m1 (164)
1.0
5.743 0.000 0.000
-2.871 4.973 0.000
0.000 0.000 7.098
Ac Zn In O
3 2 1 9
Direct
0.000 0.000 0.000
0.333 0.667 0.686
0.667 0.333 0.314
0.333 0.667 0.165
0.667 0.333 0.835
0.000 0.000 0.500
0.000 0.500 0.000
0.168 0.337 0.323
0.168 0.832 0.323
0.337 0.168 0.677
0.500 0.000 0.000
0.500 0.500 0.000
0.663 0.832 0.323
0.832 0.168 0.677
0.832 0.663 0.677